[1]
PBE ZrPbBr3, relaxed; total magnetic moment = 0.000 μB per atom; energy relative to the elements, uncorrected = -0.469 eV/atom; VASP energy = -0.288 Ry per atom; DOS at the Fermi energy = 5.63 states/eV/cell
1.0
-3.7003 -2.5802 2.9161
3.3912 -0.1588 4.1627
-1.9133 4.7086 1.7383
Br Pb Zr
3 1 1
direct
0.5000 0.0000 0.0000
0.0000 0.5000 0.0000
0.0000 0.0000 0.5000
0.5000 0.5000 0.5000
0.0000 0.0000 0.0000

=====

[2]
PBE Gd2NO, relaxed; total magnetic moment = 3.458 μB per atom; energy relative to the elements, uncorrected = -2.280 eV/atom; VASP energy = -0.929 Ry per atom; DOS at the Fermi energy = 1.63 states/eV/cell
1.0
-3.3053 0.9788 0.5555
-2.5358 -1.1349 -2.1150
-2.7285 -4.6111 2.8634
N Gd O
1 2 1
direct
0.5000 0.5000 0.5000
0.2472 0.2472 0.2585
0.7528 0.7528 0.7415
0.0000 0.0000 0.0000

=====

[3]
PBE LaNi2Ru, relaxed; total magnetic moment = 0.001 μB per atom; E_form = 0.1881 eV/atom; VASP energy = -0.460 Ry per atom; DOS at the Fermi energy = 6.55 states/eV/cell
1.0
3.1242 0.0000 0.0000
0.0000 3.1251 0.0000
0.0000 0.0000 6.7582
Ni Ru La
2 1 1
direct
0.0000 0.0000 0.0619
0.5000 0.5000 0.2471
0.0000 0.0000 0.4279
0.5000 0.5000 0.7631

=====

[4]
PBE NaPd2Se2, relaxed; distance to the lowest polymorph of the same formula = 0.146 eV/atom; total magnetic moment = 0.000 μB per atom; energy relative to the elements, uncorrected = -0.315 eV/atom; VASP energy = -0.298 Ry per atom; DOS at the Fermi energy = 8.72 states/eV/cell
1.0
7.5425 0.0000 0.0000
0.0000 7.5425 0.0000
0.0000 0.0000 3.2755
Se Pd Na
4 4 2
direct
0.6754 0.8246 0.5000
0.3246 0.1754 0.5000
0.8246 0.3246 0.5000
0.1754 0.6754 0.5000
0.6335 0.1335 0.0000
0.8665 0.6335 0.0000
0.1335 0.3665 0.0000
0.3665 0.8665 0.0000
0.5000 0.5000 0.0000
0.0000 0.0000 0.0000